A plane-wave DFT calculation with PBE-GGA was carried out for a geometry-optimized Sm6YHo2Tm3 structure.

extended XYZ file:
```
12
Lattice="6.198 0.000 0.010 -3.097 5.368 0.010 -1.048 -1.814 11.557" Properties=species:S:1:pos:R:3 pbc="T T T"
Sm -1.037 1.790 2.911
Sm 3.090 1.764 8.666
Sm 2.069 -0.004 2.911
Sm 2.062 3.571 2.923
Sm -0.016 3.558 8.666
Sm -0.009 -0.016 8.655
Ho 0.001 3.579 0.010
Ho 3.099 1.790 0.010
Tm 4.124 -0.012 5.789
Tm -2.071 3.566 5.789
Tm 1.026 1.777 5.789
Y 0.000 0.000 0.000
```

energy of formation from the pure elements	16	meV/atom
magnetization	0.0	Bohr magnetons per cell
symmetry	No. 12
crystal system	monoclinic